{"formula": "CrAgNF2", "functional": "GGA+U", "state": "relaxed", "polymorph_energy_kcal_per_mol_atoms": 0.00, "e_tot_ev_per_atom": -5.297, "dos_ef_per_ev_cell": 1.3, "lattice_angstrom": [[3.983, 0.000, 0.000], [0.000, 3.983, 0.000], [0.000, 0.000, 3.931]], "species": ["F", "F", "Cr", "N", "Ag"], "fractional_positions": [[0.500, 0.000, 0.000], [0.000, 0.500, 0.000], [0.000, 0.000, 0.000], [0.000, 0.000, 0.500], [0.500, 0.500, 0.500]]}